## TbPuGe2 (PBE)

Data for a relaxed structure of TbPuGe2.

abc: 3.943 5.838 8.141
angles: 90.00 90.00 90.00
Fractional positions:
Tb 0.000 0.136 0.000
Tb 0.000 0.864 0.500
Pu 0.500 0.366 0.363
Pu 0.500 0.634 0.863
Ge 0.000 0.388 0.645
Ge 0.000 0.612 0.145
Ge 0.500 0.107 0.720
Ge 0.500 0.893 0.220

Results
Energy in eV per atom: -7.67
Energy relative to the elements in eV per atom: -0.62
Magnetic moment in μB/f.u.: 6.00
Calculated density in Mg/m³: 9.7